# 1
{"formula": "Ac3TePt2", "functional": "PBE-GGA", "state": "optimized geometry", "spacegroup": "P6_3/mmc", "formation_energy_uncorrected_ev_per_fu": -7.722, "cell": [[4.4470, 0.0000, 0.0000], [-2.2235, 3.8512, 0.0000], [0.0000, 0.0000, 23.2974]], "species": ["Ac", "Ac", "Ac", "Ac", "Ac", "Ac", "Te", "Te", "Pt", "Pt", "Pt", "Pt"], "fractional_positions": [[0.0000, 0.0000, 0.0000], [0.3333, 0.6667, 0.1494], [0.3333, 0.6667, 0.3506], [0.0000, 0.0000, 0.5000], [0.6667, 0.3333, 0.6494], [0.6667, 0.3333, 0.8506], [0.0000, 0.0000, 0.2500], [0.0000, 0.0000, 0.7500], [0.3333, 0.6667, 0.9226], [0.6667, 0.3333, 0.0774], [0.6667, 0.3333, 0.4226], [0.3333, 0.6667, 0.5774]]}

---

# 2
{"formula": "Tl2In4Bi3", "functional": "PBE-GGA", "state": "optimized geometry", "ef_ev_per_fu": 0.32, "spacegroup": "Cmce", "cell": [[6.9075, 0.0000, 0.0000], [0.0000, 10.1235, 0.0000], [-3.4538, 0.0000, 8.3765]], "species": ["Tl", "Tl", "Tl", "Tl", "In", "In", "In", "In", "In", "In", "In", "In", "Bi", "Bi", "Bi", "Bi", "Bi", "Bi"], "fractional_positions": [[0.1030, 0.5583, 0.2060], [0.8970, 0.4417, 0.7940], [0.3970, 0.0583, 0.7940], [0.6030, 0.9417, 0.2060], [0.6992, 0.7500, 0.8983], [0.8008, 0.2500, 0.1017], [0.3008, 0.2500, 0.1017], [0.1992, 0.7500, 0.8983], [0.1874, 0.9886, 0.3749], [0.8126, 0.0114, 0.6251], [0.3126, 0.4886, 0.6251], [0.6874, 0.5114, 0.3749], [0.0000, 0.0000, 0.0000], [0.5000, 0.5000, 0.0000], [0.5110, 0.7500, 0.5220], [0.9890, 0.2500, 0.4780], [0.4890, 0.2500, 0.4780], [0.0110, 0.7500, 0.5220]]}

---

# 3
{"formula": "InHgAu4", "functional": "PBE-GGA", "state": "optimized geometry", "ef_ev_per_fu": -0.06, "spacegroup": "Pm", "polymorph_energy_mev_per_atom": 7, "cell": [[3.1680, 0.0109, -0.0010], [-0.0166, 4.6215, -0.1814], [0.0015, -0.2808, 8.1318]], "species": ["In", "Hg", "Au", "Au", "Au", "Au"], "fractional_positions": [[0.1682, 0.0071, 0.4693], [0.1679, 0.4483, 0.0297], [0.6677, 0.9528, 0.1455], [0.6680, 0.0455, 0.7936], [0.1679, 0.5426, 0.6852], [0.6681, 0.4875, 0.3655]]}

---

Number 1: DOS(E_F) 7.16 states/eV/cell. Number 2: DOS(E_F) 8.79 states/eV/cell. Number 3: DOS(E_F) 1.81 states/eV/cell.